1.
A PBEsol-optimized structure of LaSnPdS2. Source: Alexandria, functional SCAN.

## Properties
Space-group type = P4/mmm
Formation energy from raw total energies = -0.203 eV per atom
D(E_F) = 1.618 states/eV/f.u.

Unit cell a=5.0401 b=5.4030 c=5.4030 alpha=90.00 beta=90.00 gamma=90.00
Positions (direct):
Sn 0.5000 0.5000 0.5000
S 0.0000 0.0000 0.5000
Pd 0.5000 0.0000 0.0000
S 0.0000 0.5000 0.0000
La 0.0000 0.0000 0.0000

2.
A PBEsol-optimized structure of LaSbPd. Source: Alexandria, functional SCAN.

## Properties
Space-group type = P6_3/mmc
Formation energy from raw total energies = -1.286 eV per atom
D(E_F) = 0.395 states/eV/f.u.

Unit cell a=4.5743 b=4.5743 c=16.2302 alpha=90.00 beta=90.00 gamma=120.00
Positions (direct):
Sb 0.6667 0.3333 0.3795
Pd 0.6667 0.3333 0.8684
Sb 0.3333 0.6667 0.8795
La 0.0000 0.0000 0.5000
Sb 0.6667 0.3333 0.1205
Pd 0.3333 0.6667 0.1316
Pd 0.3333 0.6667 0.3684
La 0.0000 0.0000 0.2500
Pd 0.6667 0.3333 0.6316
Sb 0.3333 0.6667 0.6205
La 0.0000 0.0000 0.0000
La 0.0000 0.0000 0.7500

3.
A PBEsol-optimized structure of LaSb3Pd. Source: Alexandria, functional SCAN.

## Properties
Space-group type = Pm-3m
Formation energy from raw total energies = 1.021 eV per atom
D(E_F) = 6.191 states/eV/f.u.

Unit cell a=5.8687 b=5.8687 c=5.8687 alpha=90.00 beta=90.00 gamma=90.00
Positions (direct):
Sb 0.5000 0.0000 0.0000
Sb 0.0000 0.5000 0.0000
Pd 0.5000 0.5000 0.5000
La 0.0000 0.0000 0.0000
Sb 0.0000 0.0000 0.5000

4.
A PBEsol-optimized structure of LaSbPd. Source: Alexandria, functional SCAN.

## Properties
Space-group type = P6_3mc
Formation energy from raw total energies = -1.289 eV per atom
D(E_F) = 0.218 states/eV/f.u.

Unit cell a=4.5902 b=4.5902 c=7.9907 alpha=90.00 beta=90.00 gamma=120.00
Positions (direct):
La 0.0000 0.0000 0.0042
Pd 0.6667 0.3333 0.2187
Sb 0.6667 0.3333 0.7681
La 0.0000 0.0000 0.5042
Sb 0.3333 0.6667 0.2681
Pd 0.3333 0.6667 0.7187

5.
A PBEsol-optimized structure of LaSb2Pd. Source: Alexandria, functional SCAN.

## Properties
Space-group type = P4/nmm
Formation energy from raw total energies = -0.989 eV per atom
D(E_F) = 2.805 states/eV/f.u.

Unit cell a=4.4739 b=4.4739 c=9.9067 alpha=90.00 beta=90.00 gamma=90.00
Positions (direct):
La 0.0000 0.5000 0.2469
Pd 0.5000 0.5000 0.0000
Sb 0.0000 0.0000 0.5000
La 0.5000 0.0000 0.7531
Sb 0.5000 0.0000 0.1492
Sb 0.0000 0.5000 0.8508
Pd 0.0000 0.0000 0.0000
Sb 0.5000 0.5000 0.5000

6.
A PBEsol-optimized structure of LaSc2Pd2. Source: Alexandria, functional SCAN.

## Properties
Energy relative to the elements = -0.75 eV per atom
Space-group type = I4/mmm
D(E_F) = 6.021 states/eV/f.u.

Unit cell a=4.4048 b=4.4048 c=6.5348 alpha=109.70 beta=109.70 gamma=90.00
Positions (direct):
La 0.0000 0.0000 0.0000
Pd 0.3849 0.3849 0.7699
Sc 0.7500 0.2500 0.5000
Sc 0.2500 0.7500 0.5000
Pd 0.6151 0.6151 0.2301

7.
A PBEsol-optimized structure of La2ScPd2. Source: Alexandria, functional SCAN.

## Properties
Energy relative to the elements = -0.73 eV per atom
Space-group type = P4/mbm
D(E_F) = 4.870 states/eV/f.u.

Unit cell a=4.0873 b=7.6616 c=7.6616 alpha=90.00 beta=90.00 gamma=90.00
Positions (direct):
Pd 0.0000 0.3680 0.8680
La 0.5000 0.1723 0.6723
La 0.5000 0.8277 0.3277
La 0.5000 0.3277 0.1723
Sc 0.0000 0.5000 0.5000
Pd 0.0000 0.1320 0.3680
La 0.5000 0.6723 0.8277
Pd 0.0000 0.8680 0.6320
Pd 0.0000 0.6320 0.1320
Sc 0.0000 0.0000 0.0000

8.
A PBEsol-optimized structure of LaPd2WSe. Source: Alexandria, functional SCAN.

## Properties
Space-group type = P4/mmm
Formation energy from raw total energies = 0.547 eV per atom
D(E_F) = 4.746 states/eV/f.u.

Unit cell a=4.6890 b=4.6890 c=5.7391 alpha=90.00 beta=90.00 gamma=90.00
Positions (direct):
Se 0.5000 0.5000 0.5000
W 0.0000 0.0000 0.0000
Pd 0.5000 0.0000 0.0000
Pd 0.0000 0.5000 0.0000
La 0.0000 0.0000 0.5000

9.
A PBEsol-optimized structure of La3SiPd5. Source: Alexandria, functional SCAN.

## Properties
Space-group type = Imma
Formation energy from raw total energies = -0.968 eV per atom
D(E_F) = 4.443 states/eV/f.u.

Unit cell a=7.4039 b=7.5517 c=8.3867 alpha=63.24 beta=63.81 gamma=90.00
Positions (direct):
La 0.2500 0.1190 0.5000
La 0.0494 0.2762 0.9013
Si 0.7500 0.2869 0.5000
Pd 0.5000 0.5000 0.5000
Pd 0.0904 0.3292 0.2149
Pd 0.9096 0.6708 0.7851
Pd 0.4096 0.0441 0.7851
La 0.9506 0.7238 0.0987
Pd 0.5904 0.9559 0.2149
Pd 0.8052 0.0441 0.7851
Pd 0.1948 0.9559 0.2149
La 0.5494 0.3225 0.9013
Pd 0.3052 0.6708 0.7851
Pd 0.0000 0.5000 0.5000
La 0.4506 0.6775 0.0987
La 0.7500 0.8810 0.5000
Si 0.2500 0.7131 0.5000
Pd 0.6948 0.3292 0.2149

10.
A PBEsol-optimized structure of La3Si4Pd4. Source: Alexandria, functional SCAN.

## Properties
Space-group type = Immm
Formation energy from raw total energies = -1.020 eV per atom
D(E_F) = 7.257 states/eV/f.u.

Unit cell a=4.1715 b=4.2466 c=12.6555 alpha=99.66 beta=99.49 gamma=90.00
Positions (direct):
Pd 0.5982 0.0982 0.1964
Pd 0.2488 0.2488 0.4976
La 0.0000 0.0000 0.0000
La 0.1471 0.6471 0.2942
Pd 0.7512 0.7512 0.5024
La 0.8529 0.3529 0.7058
Pd 0.4018 0.9018 0.8036
Si 0.4515 0.4515 0.9031
Si 0.3023 0.8023 0.6047
Si 0.5485 0.5485 0.0969
Si 0.6977 0.1977 0.3953

11.
A PBEsol-optimized structure of La2SiPd2. Source: Alexandria, functional SCAN.

## Properties
Space-group type = I4/mmm
Formation energy from raw total energies = -0.724 eV per atom
D(E_F) = 0.830 states/eV/f.u.

Unit cell a=5.4686 b=5.4686 c=5.4686 alpha=93.16 beta=118.19 gamma=118.19
Positions (direct):
La 0.5000 0.7500 0.2500
Pd 0.0000 0.6690 0.6690
Pd 0.0000 0.3310 0.3310
La 0.5000 0.2500 0.7500
Si 0.0000 0.0000 0.0000

12.
A PBEsol-optimized structure of LaSi2Pd2. Source: Alexandria, functional SCAN.

## Properties
Space-group type = I4/mmm
Formation energy from raw total energies = -0.995 eV per atom
D(E_F) = 2.557 states/eV/f.u.

Unit cell a=4.2391 b=4.2391 c=5.7848 alpha=111.49 beta=111.49 gamma=90.00
Positions (direct):
Pd 0.7500 0.2500 0.5000
Si 0.3791 0.3791 0.7583
Pd 0.2500 0.7500 0.5000
La 0.0000 0.0000 0.0000
Si 0.6209 0.6209 0.2417

- Number 9 is which compound?
  La3SiPd5

- The lowest D(E_F) belongs to which entry?
  number 4

- The highest D(E_F) belongs to which entry?
  La3Si4Pd4

- Number 3 is which compound?
  LaSb3Pd